Material: FeCuPO2
Method: DFT, PBE+U
State: optimized geometry

Cell lengths 3.742, 3.742, 4.673 Å; angles 90.00, 90.00, 90.00 degrees
Atoms (fractional coordinates):
Fe 0.000 0.000 0.000
Cu 0.500 0.500 0.500
P 0.500 0.500 0.000
O 0.000 0.500 0.500
O 0.500 0.000 0.500

Computed properties:
The density of states at the Fermi level comes out at 0.69 states/eV per atom. The calculation puts the energy at -4.731 eV/atom. Its magnetic moment is 4.57 μB/f.u. The energy above the most stable polymorph in this dataset comes out at 155.6 kJ/mol of formula units. The volume comes out at 13.09 Å³/atom.